Record 1
The following is a PBE calculation of a geometry-optimized Rb2ZnH12S2O14 structure, from the Alexandria database.

Size of the total moment ... 0.009 μB/atom
VASP energy ... -5.236 eV/atom
Crystal system ... monoclinic

Cell: 6.351 12.553 9.223 Å, 90.00 105.00 90.00°
Space group P2_1/c (No. 14)
Asymmetric unit:
1 Rb 0.156 0.150 0.371 (multiplicity 4)
2 Zn 0.500 0.000 0.000 (multiplicity 2)
3 H 0.171 0.563 0.606 (multiplicity 4)
4 H 0.177 0.094 0.786 (multiplicity 4)
5 H 0.183 0.643 0.475 (multiplicity 4)
6 H 0.408 0.128 0.756 (multiplicity 4)
7 H 0.421 0.600 0.222 (multiplicity 4)
8 H 0.487 0.689 0.348 (multiplicity 4)
9 S 0.231 0.641 0.902 (multiplicity 4)
10 O 0.094 0.737 0.910 (multiplicity 4)
11 O 0.108 0.572 0.774 (multiplicity 4)
12 O 0.208 0.567 0.508 (multiplicity 4)
13 O 0.268 0.578 0.042 (multiplicity 4)
14 O 0.331 0.115 0.835 (multiplicity 4)
15 O 0.443 0.676 0.875 (multiplicity 4)
16 O 0.481 0.114 0.176 (multiplicity 4)


Record 2
The following is a PBE calculation of a geometry-optimized Rb3ScH6O6 structure, from the Alexandria database.

Size of the total moment ... 0.000 μB/atom
VASP energy ... -5.291 eV/atom
Crystal system ... trigonal

Cell: 11.5615 11.5615 11.6347 Å, 90.00 90.00 120.00°
Space group R-3c (No. 167, hexagonal axes)
Asymmetric unit:
1 Rb 0.0000 0.3804 0.2500 (multiplicity 18)
2 Sc 0.0000 0.0000 0.0000 (multiplicity 6)
3 H 0.0535 0.1562 0.3201 (multiplicity 36)
4 O 0.0116 0.1574 0.3923 (multiplicity 36)


Record 3
The following is a PBE calculation of a geometry-optimized RbH6Se2O2 structure, from the Alexandria database.

Size of the total moment ... 0.000 μB/atom
VASP energy ... -4.073 eV/atom
Crystal system ... triclinic

Cell: 5.141 6.296 6.376 Å, 114.98 105.70 99.51°
Space group P-1 (No. 2)
Asymmetric unit:
1 Rb 0.000 0.000 0.000 (multiplicity 1)
2 H 0.165 0.703 0.381 (multiplicity 2)
3 H 0.361 0.683 0.610 (multiplicity 2)
4 H 0.500 0.316 0.607 (multiplicity 2)
5 Se 0.279 0.493 0.791 (multiplicity 2)
6 O 0.378 0.768 0.500 (multiplicity 2)


Record 4
The following is a PBE calculation of a geometry-optimized Rb2ZnH12Se2O14 structure, from the Alexandria database.

Size of the total moment ... 0.000 μB/atom
VASP energy ... -4.992 eV/atom
Crystal system ... monoclinic

Cell: 6.479 12.753 9.383 Å, 90.00 104.35 90.00°
Space group P2_1/c (No. 14)
Asymmetric unit:
1 Rb 0.158 0.153 0.368 (multiplicity 4)
2 Zn 0.500 0.000 0.000 (multiplicity 2)
3 H 0.177 0.560 0.606 (multiplicity 4)
4 H 0.181 0.092 0.794 (multiplicity 4)
5 H 0.183 0.638 0.475 (multiplicity 4)
6 H 0.402 0.128 0.759 (multiplicity 4)
7 H 0.422 0.596 0.228 (multiplicity 4)
8 H 0.495 0.684 0.351 (multiplicity 4)
9 Se 0.233 0.642 0.903 (multiplicity 4)
10 O 0.080 0.746 0.913 (multiplicity 4)
11 O 0.100 0.566 0.763 (multiplicity 4)
12 O 0.215 0.564 0.510 (multiplicity 4)
13 O 0.270 0.571 0.057 (multiplicity 4)
14 O 0.331 0.113 0.839 (multiplicity 4)
15 O 0.467 0.682 0.874 (multiplicity 4)
16 O 0.479 0.110 0.173 (multiplicity 4)


Record 5
The following is a PBE calculation of a geometry-optimized Rb2TaH2O6 structure, from the Alexandria database.

Size of the total moment ... 0.274 μB/atom
VASP energy ... -5.788 eV/atom
Crystal system ... trigonal

Cell: 5.2542 5.2542 6.4545 Å, 90.00 90.00 120.00°
Space group P-3m1 (No. 164)
Asymmetric unit:
1 Rb 0.3333 0.6667 0.3582 (multiplicity 2)
2 Ta 0.0000 0.0000 0.0000 (multiplicity 1)
3 H 0.3333 0.6667 0.8258 (multiplicity 2)
4 O 0.1788 0.3575 0.8193 (multiplicity 6)


Record 6
The following is a PBE calculation of a geometry-optimized RbTaHO2 structure, from the Alexandria database.

Size of the total moment ... 0.000 μB/atom
VASP energy ... -6.832 eV/atom
Crystal system ... tetragonal

Cell: 4.026 4.026 4.344 Å, 90.00 90.00 90.00°
Space group P4/mmm (No. 123)
Asymmetric unit:
1 Rb 0.000 0.000 0.000 (multiplicity 1)
2 Ta 0.500 0.500 0.500 (multiplicity 1)
3 H 0.500 0.500 0.000 (multiplicity 1)
4 O 0.000 0.500 0.500 (multiplicity 2)


Record 7
The following is a PBE calculation of a geometry-optimized RbTc2HO8 structure, from the Alexandria database.

Size of the total moment ... 0.000 μB/atom
VASP energy ... -6.612 eV/atom
Crystal system ... monoclinic

Cell: 12.495 5.174 7.907 Å, 90.00 121.53 90.00°
Space group C2/m (No. 12)
Asymmetric unit:
1 Rb 0.000 0.000 0.000 (multiplicity 2)
2 Tc 0.180 0.000 0.646 (multiplicity 4)
3 H 0.000 0.500 0.500 (multiplicity 2)
4 O 0.102 0.272 0.661 (multiplicity 8)
5 O 0.165 0.500 0.155 (multiplicity 4)
6 O 0.174 0.000 0.422 (multiplicity 4)


Record 8
The following is a PBE calculation of a geometry-optimized RbTc2HO structure, from the Alexandria database.

Size of the total moment ... 1.819 μB/atom
VASP energy ... -3.125 eV/atom
Crystal system ... tetragonal

Cell: 5.616 5.616 4.582 Å, 90.00 90.00 90.00°
Space group P4/mmm (No. 123)
Asymmetric unit:
1 Rb 0.000 0.000 0.000 (multiplicity 1)
2 Tc 0.000 0.500 0.000 (multiplicity 2)
3 H 0.500 0.500 0.500 (multiplicity 1)
4 O 0.000 0.000 0.500 (multiplicity 1)


Record 9
The following is a PBE calculation of a geometry-optimized RbTcHO4 structure, from the Alexandria database.

Size of the total moment ... 0.143 μB/atom
VASP energy ... -6.312 eV/atom
Crystal system ... monoclinic

Cell: 4.972 6.580 8.303 Å, 90.00 101.39 90.00°
Space group P2_1/m (No. 11)
Asymmetric unit:
1 Rb 0.009 0.250 0.313 (multiplicity 2)
2 Tc 0.351 0.750 0.218 (multiplicity 2)
3 H 0.134 0.250 0.914 (multiplicity 2)
4 O 0.035 0.750 0.042 (multiplicity 2)
5 O 0.157 0.750 0.377 (multiplicity 2)
6 O 0.471 0.021 0.777 (multiplicity 4)


Record 10
The following is a PBE calculation of a geometry-optimized Rb2TeH12O10 structure, from the Alexandria database.

Size of the total moment ... 0.004 μB/atom
VASP energy ... -4.962 eV/atom
Crystal system ... triclinic

Cell: 7.118 8.472 9.457 Å, 101.54 97.83 94.29°
Space group P-1 (No. 2)
Asymmetric unit:
1 Rb 0.064 0.054 0.204 (multiplicity 2)
2 Rb 0.434 0.626 0.706 (multiplicity 2)
3 Te 0.368 0.071 0.611 (multiplicity 2)
4 H 0.015 0.560 0.186 (multiplicity 2)
5 H 0.084 0.860 0.500 (multiplicity 2)
6 H 0.100 0.452 0.372 (multiplicity 2)
7 H 0.101 0.354 0.694 (multiplicity 2)
8 H 0.178 0.331 0.474 (multiplicity 2)
9 H 0.216 0.662 0.025 (multiplicity 2)
10 H 0.220 0.372 0.034 (multiplicity 2)
11 H 0.285 0.210 0.943 (multiplicity 2)
12 H 0.312 0.643 0.180 (multiplicity 2)
13 H 0.332 0.931 0.914 (multiplicity 2)
14 H 0.359 0.746 0.410 (multiplicity 2)
15 H 0.415 0.886 0.064 (multiplicity 2)
16 O 0.070 0.462 0.744 (multiplicity 2)
17 O 0.148 0.180 0.582 (multiplicity 2)
18 O 0.215 0.408 0.413 (multiplicity 2)
19 O 0.216 0.589 0.093 (multiplicity 2)
20 O 0.216 0.852 0.550 (multiplicity 2)
21 O 0.227 0.255 0.030 (multiplicity 2)
22 O 0.301 0.864 0.985 (multiplicity 2)
23 O 0.377 0.071 0.812 (multiplicity 2)
24 O 0.406 0.056 0.400 (multiplicity 2)
25 O 0.454 0.723 0.343 (multiplicity 2)


Record 11
The following is a PBE calculation of a geometry-optimized RbTi2H2O6 structure, from the Alexandria database.

Size of the total moment ... 0.096 μB/atom
VASP energy ... -6.892 eV/atom
Crystal system ... triclinic

Cell: 5.585 5.731 6.650 Å, 66.02 67.04 60.85°
Space group P-1 (No. 2)
Asymmetric unit:
1 Rb 0.000 0.000 0.000 (multiplicity 1)
2 Ti 0.300 0.036 0.392 (multiplicity 2)
3 H 0.223 0.561 0.496 (multiplicity 2)
4 O 0.123 0.768 0.480 (multiplicity 2)
5 O 0.365 0.240 0.521 (multiplicity 2)
6 O 0.375 0.172 0.093 (multiplicity 2)


Record 12
The following is a PBE calculation of a geometry-optimized RbTlHO2 structure, from the Alexandria database.

Size of the total moment ... 0.000 μB/atom
VASP energy ... -4.148 eV/atom
Crystal system ... monoclinic

Cell: 6.285 4.044 7.109 Å, 90.00 105.55 90.00°
Space group P2/c (No. 13)
Asymmetric unit:
1 Rb 0.000 0.200 0.250 (multiplicity 2)
2 Tl 0.500 0.422 0.750 (multiplicity 2)
3 H 0.500 0.000 0.000 (multiplicity 2)
4 O 0.337 0.173 0.003 (multiplicity 4)